(1)
This record from Alexandria describes TbErThAl after structural relaxation. The functional is PBE.

Values from the calculation:
Symmetry: F-43m (216)
ΔE_f in meV/atom: -31.7

POSCAR file:
```
TbErThAl
1.0
5.372 0.000 0.000
2.686 4.653 0.000
2.686 1.551 4.387
Th Al Tb Er
1 1 1 1
Direct
0.000 0.000 0.000
0.750 0.750 0.750
0.500 0.500 0.500
0.250 0.250 0.250
```

---

(2)
This record from Alexandria describes TbErAlTl after structural relaxation. The functional is PBE.

Values from the calculation:
Symmetry: F-43m (216)
E above lowest polymorph in meV/atom: 26
ΔE_f in meV/atom: -330.5

POSCAR file:
```
TbErAlTl
1.0
5.236 0.000 0.000
2.618 4.534 0.000
2.618 1.511 4.275
Al Tb Er Tl
1 1 1 1
Direct
0.500 0.500 0.500
0.750 0.750 0.750
0.250 0.250 0.250
0.000 0.000 0.000
```

---

(3)
This record from Alexandria describes TbErAlTl after structural relaxation. The functional is PBE.

Values from the calculation:
Symmetry: P4mm (99)
E above lowest polymorph in meV/atom: 0
ΔE_f in meV/atom: -356.1

POSCAR file:
```
TbErAlTl
1.0
-0.046 -3.221 1.650
-1.319 -1.522 -3.007
7.204 -1.368 -2.468
Tb Tl Er Al
1 1 1 1
Direct
0.000 0.000 0.842
0.500 0.500 0.111
0.000 0.000 0.372
0.500 0.500 0.603
```

---

Question: Which value of ΔE_f does entry 3 give?
Answer: -356.1 meV/atom

---

Question: Among the records above, which one has the highest ΔE_f?
Answer: TbErThAl

---

Question: Which formula does entry 2 have?
Answer: TbErAlTl

---

Question: What is the ΔE_f in the third record?
Answer: -356.1 meV/atom